[1]
# TmI

Crystalline TmI at its relaxed geometry (PBE-GGA, OQMD).

a b c (Å): 6.128 6.128 6.128
angles (deg): 90.00 90.00 90.00
Sites, in units of the cell vectors:
Tm (0.000, 0.000, 0.000)
Tm (0.000, 0.500, 0.500)
Tm (0.500, 0.000, 0.500)
Tm (0.500, 0.500, 0.000)
I (0.000, 0.000, 0.500)
I (0.000, 0.500, 0.000)
I (0.500, 0.000, 0.000)
I (0.500, 0.500, 0.500)

Summary:
Electronic total energy ... -3.2085 eV/atom
SG ... Fm-3m, No. 225
Volume ... 57.5 Å³/f.u.


[2]
# Tm2I

Crystalline Tm2I at its relaxed geometry (PBE-GGA, OQMD).

a b c (Å): 10.238 10.238 10.238
angles (deg): 60.00 60.00 60.00
Sites, in units of the cell vectors:
Tm (0.000, 0.000, 0.000)
Tm (0.000, 0.000, 0.500)
Tm (0.000, 0.500, 0.000)
Tm (0.500, 0.000, 0.000)
I (0.125, 0.125, 0.125)
I (0.875, 0.875, 0.875)

Summary:
Electronic total energy ... -1.8901 eV/atom
SG ... Fd-3m, No. 227
Volume ... 379.4 Å³/f.u.


[3]
# TmI2

Crystalline TmI2 at its relaxed geometry (PBE-GGA, OQMD).

a b c (Å): 23.121 23.121 23.121
angles (deg): 10.08 10.08 10.08
Sites, in units of the cell vectors:
Tm (0.000, 0.000, 0.000)
Tm (0.444, 0.444, 0.444)
Tm (0.556, 0.556, 0.556)
I (0.139, 0.139, 0.139)
I (0.250, 0.250, 0.250)
I (0.361, 0.361, 0.361)
I (0.639, 0.639, 0.639)
I (0.750, 0.750, 0.750)
I (0.861, 0.861, 0.861)

Summary:
Electronic total energy ... -3.6474 eV/atom
SG ... R-3m, No. 166
Volume ... 109.7 Å³/f.u.


[4]
# UI

Crystalline UI at its relaxed geometry (PBE-GGA, OQMD).

a b c (Å): 6.111 6.111 6.111
angles (deg): 90.00 90.00 90.00
Sites, in units of the cell vectors:
U (0.000, 0.000, 0.000)
U (0.000, 0.500, 0.500)
U (0.500, 0.000, 0.500)
U (0.500, 0.500, 0.000)
I (0.000, 0.000, 0.500)
I (0.000, 0.500, 0.000)
I (0.500, 0.000, 0.000)
I (0.500, 0.500, 0.500)

Summary:
Electronic total energy ... -6.1438 eV/atom
SG ... Fm-3m, No. 225
Volume ... 57.1 Å³/f.u.


[5]
# UI

Crystalline UI at its relaxed geometry (PBE-GGA, OQMD).

a b c (Å): 7.026 7.026 7.026
angles (deg): 90.00 90.00 90.00
Sites, in units of the cell vectors:
U (0.000, 0.000, 0.000)
U (0.000, 0.500, 0.500)
U (0.500, 0.000, 0.500)
U (0.500, 0.500, 0.000)
I (0.250, 0.250, 0.250)
I (0.250, 0.750, 0.750)
I (0.750, 0.250, 0.750)
I (0.750, 0.750, 0.250)

Summary:
Electronic total energy ... -5.5061 eV/atom
SG ... F-43m, No. 216
Volume ... 86.7 Å³/f.u.


[6]
# UI

Crystalline UI at its relaxed geometry (PBE-GGA, OQMD).

a b c (Å): 3.649 3.649 4.846
angles (deg): 90.00 90.00 120.00
Sites, in units of the cell vectors:
U (0.000, 0.000, 0.000)
I (0.333, 0.667, 0.500)

Summary:
Electronic total energy ... -6.3509 eV/atom
SG ... P-6m2, No. 187
Volume ... 55.9 Å³/f.u.


[7]
# Zr3UI

Crystalline Zr3UI at its relaxed geometry (PBE-GGA, OQMD).

a b c (Å): 7.977 7.977 6.278
angles (deg): 90.00 90.00 138.59
Sites, in units of the cell vectors:
Zr (0.115, 0.885, 0.750)
Zr (0.292, 0.708, 0.005)
Zr (0.292, 0.708, 0.495)
Zr (0.708, 0.292, 0.505)
Zr (0.708, 0.292, 0.995)
Zr (0.885, 0.115, 0.250)
U (0.108, 0.892, 0.250)
U (0.892, 0.108, 0.750)
I (0.462, 0.538, 0.750)
I (0.538, 0.462, 0.250)

Summary:
Electronic total energy ... -7.3439 eV/atom
SG ... Cmcm, No. 63
Volume ... 132.1 Å³/f.u.


[8]
# WI

Crystalline WI at its relaxed geometry (PBE-GGA, OQMD).

a b c (Å): 6.052 6.052 6.052
angles (deg): 90.00 90.00 90.00
Sites, in units of the cell vectors:
W (0.000, 0.000, 0.000)
W (0.000, 0.500, 0.500)
W (0.500, 0.000, 0.500)
W (0.500, 0.500, 0.000)
I (0.250, 0.250, 0.250)
I (0.250, 0.750, 0.750)
I (0.750, 0.250, 0.750)
I (0.750, 0.750, 0.250)

Summary:
Electronic total energy ... -5.1780 eV/atom
SG ... F-43m, No. 216
Volume ... 55.4 Å³/f.u.


[9]
# WI4

Crystalline WI4 at its relaxed geometry (PBE-GGA, OQMD).

a b c (Å): 8.069 10.657 10.815
angles (deg): 83.41 68.83 69.69
Sites, in units of the cell vectors:
W (0.001, 0.228, 0.255)
W (0.266, 0.367, 0.862)
W (0.734, 0.633, 0.138)
W (0.999, 0.772, 0.745)
I (0.105, 0.638, 0.972)
I (0.123, 0.496, 0.666)
I (0.126, 0.990, 0.142)
I (0.132, 0.159, 0.452)
I (0.346, 0.271, 0.091)
I (0.346, 0.776, 0.619)
I (0.351, 0.130, 0.759)
I (0.400, 0.600, 0.251)
I (0.600, 0.400, 0.749)
I (0.649, 0.870, 0.241)
I (0.654, 0.224, 0.381)
I (0.654, 0.729, 0.909)
I (0.868, 0.841, 0.548)
I (0.874, 0.010, 0.858)
I (0.877, 0.504, 0.334)
I (0.895, 0.362, 0.028)

Summary:
Electronic total energy ... -3.8082 eV/atom
SG ... P-1, No. 2
Volume ... 203.3 Å³/f.u.


[10]
# WI2

Crystalline WI2 at its relaxed geometry (PBE-GGA, OQMD).

a b c (Å): 10.398 11.204 13.264
angles (deg): 90.00 114.51 90.00
Sites, in units of the cell vectors:
W (0.063, 0.133, 0.444)
W (0.063, 0.367, 0.944)
W (0.070, 0.071, 0.642)
W (0.070, 0.429, 0.142)
W (0.177, 0.576, 0.036)
W (0.177, 0.924, 0.536)
W (0.823, 0.076, 0.464)
W (0.823, 0.424, 0.964)
W (0.930, 0.571, 0.858)
W (0.930, 0.929, 0.358)
W (0.937, 0.633, 0.056)
W (0.937, 0.867, 0.556)
I (0.041, 0.703, 0.449)
I (0.041, 0.797, 0.949)
I (0.178, 0.513, 0.830)
I (0.178, 0.987, 0.330)
I (0.180, 0.162, 0.870)
I (0.180, 0.338, 0.370)
I (0.198, 0.645, 0.245)
I (0.198, 0.855, 0.745)
I (0.325, 0.137, 0.631)
I (0.325, 0.363, 0.131)
I (0.437, 0.691, 0.085)
I (0.437, 0.809, 0.585)
I (0.563, 0.191, 0.415)
I (0.563, 0.309, 0.915)
I (0.675, 0.637, 0.869)
I (0.675, 0.863, 0.369)
I (0.802, 0.145, 0.255)
I (0.802, 0.355, 0.755)
I (0.820, 0.662, 0.630)
I (0.820, 0.838, 0.130)
I (0.822, 0.013, 0.670)
I (0.822, 0.487, 0.170)
I (0.959, 0.203, 0.051)
I (0.959, 0.297, 0.551)

Summary:
Electronic total energy ... -5.5379 eV/atom
SG ... P2_1/c, No. 14
Volume ... 117.2 Å³/f.u.


[11]
# WI2

Crystalline WI2 at its relaxed geometry (PBE-GGA, OQMD).

a b c (Å): 8.444 8.444 8.444
angles (deg): 60.00 60.00 60.00
Sites, in units of the cell vectors:
W (0.125, 0.125, 0.125)
W (0.875, 0.875, 0.875)
I (0.000, 0.000, 0.000)
I (0.000, 0.000, 0.500)
I (0.000, 0.500, 0.000)
I (0.500, 0.000, 0.000)

Summary:
Electronic total energy ... -4.2090 eV/atom
SG ... Fd-3m, No. 227
Volume ... 212.8 Å³/f.u.


[12]
# W2I5

Crystalline W2I5 at its relaxed geometry (PBE-GGA, OQMD).

a b c (Å): 11.192 12.544 16.119
angles (deg): 90.00 90.00 90.00
Sites, in units of the cell vectors:
W (0.131, 0.237, 0.283)
W (0.150, 0.403, 0.193)
W (0.151, 0.704, 0.771)
W (0.246, 0.232, 0.137)
W (0.254, 0.768, 0.637)
W (0.349, 0.296, 0.271)
W (0.350, 0.597, 0.693)
W (0.369, 0.763, 0.783)
W (0.631, 0.263, 0.717)
W (0.650, 0.097, 0.807)
W (0.651, 0.796, 0.229)
W (0.746, 0.268, 0.863)
W (0.754, 0.732, 0.363)
W (0.849, 0.204, 0.729)
W (0.850, 0.903, 0.307)
W (0.869, 0.737, 0.217)
I (0.000, 0.416, 0.330)
I (0.000, 0.916, 0.170)
I (0.010, 0.726, 0.630)
I (0.010, 0.737, 0.363)
I (0.031, 0.596, 0.130)
I (0.072, 0.208, 0.646)
I (0.164, 0.484, 0.762)
I (0.204, 0.931, 0.755)
I (0.238, 0.407, 0.032)
I (0.247, 0.723, 0.929)
I (0.248, 0.917, 0.509)
I (0.252, 0.083, 0.009)
I (0.253, 0.277, 0.429)
I (0.262, 0.593, 0.532)
I (0.296, 0.069, 0.255)
I (0.336, 0.516, 0.262)
I (0.428, 0.792, 0.146)
I (0.469, 0.404, 0.630)
I (0.490, 0.263, 0.863)
I (0.490, 0.274, 0.130)
I (0.500, 0.084, 0.670)
I (0.500, 0.584, 0.830)
I (0.510, 0.763, 0.637)
I (0.510, 0.774, 0.370)
I (0.531, 0.904, 0.870)
I (0.572, 0.292, 0.354)
I (0.664, 0.016, 0.238)
I (0.704, 0.569, 0.245)
I (0.738, 0.093, 0.968)
I (0.747, 0.777, 0.071)
I (0.748, 0.583, 0.491)
I (0.752, 0.417, 0.991)
I (0.753, 0.223, 0.571)
I (0.762, 0.907, 0.468)
I (0.796, 0.431, 0.745)
I (0.836, 0.984, 0.738)
I (0.928, 0.708, 0.854)
I (0.969, 0.096, 0.370)
I (0.990, 0.226, 0.870)
I (0.990, 0.237, 0.137)

Summary:
Electronic total energy ... -4.9214 eV/atom
SG ... P2_12_12_1, No. 19
Volume ... 282.9 Å³/f.u.


[13]
# WI2

Crystalline WI2 at its relaxed geometry (PBE-GGA, OQMD).

a b c (Å): 6.305 6.305 4.315
angles (deg): 90.00 90.00 90.00
Sites, in units of the cell vectors:
W (0.000, 0.000, 0.000)
W (0.500, 0.500, 0.500)
I (0.192, 0.192, 0.500)
I (0.308, 0.692, 0.000)
I (0.692, 0.308, 0.000)
I (0.808, 0.808, 0.500)

Summary:
Electronic total energy ... -4.6383 eV/atom
SG ... P4_2/mnm, No. 136
Volume ... 85.8 Å³/f.u.


[14]
# WI5

Crystalline WI5 at its relaxed geometry (PBE-GGA, OQMD).

a b c (Å): 7.195 7.891 10.400
angles (deg): 108.80 90.50 116.53
Sites, in units of the cell vectors:
W (0.103, 0.213, 0.217)
W (0.897, 0.787, 0.783)
I (0.076, 0.819, 0.565)
I (0.124, 0.626, 0.851)
I (0.235, 0.179, 0.954)
I (0.313, 0.016, 0.251)
I (0.442, 0.571, 0.334)
I (0.558, 0.429, 0.666)
I (0.687, 0.984, 0.749)
I (0.765, 0.821, 0.046)
I (0.876, 0.374, 0.149)
I (0.924, 0.181, 0.435)

Summary:
Electronic total energy ... -3.4873 eV/atom
SG ... P-1, No. 2
Volume ... 245.9 Å³/f.u.


[15]
# W5I11

Crystalline W5I11 at its relaxed geometry (PBE-GGA, OQMD).

a b c (Å): 15.663 13.009 11.793
angles (deg): 90.00 90.00 90.00
Sites, in units of the cell vectors:
W (0.142, 0.250, 0.003)
W (0.206, 0.146, 0.179)
W (0.206, 0.354, 0.179)
W (0.212, 0.646, 0.491)
W (0.212, 0.854, 0.491)
W (0.288, 0.146, 0.991)
W (0.288, 0.354, 0.991)
W (0.294, 0.646, 0.679)
W (0.294, 0.854, 0.679)
W (0.358, 0.750, 0.503)
W (0.642, 0.250, 0.497)
W (0.706, 0.146, 0.321)
W (0.706, 0.354, 0.321)
W (0.712, 0.646, 0.009)
W (0.712, 0.854, 0.009)
W (0.788, 0.146, 0.509)
W (0.788, 0.354, 0.509)
W (0.794, 0.646, 0.821)
W (0.794, 0.854, 0.821)
W (0.858, 0.750, 0.997)
I (0.014, 0.750, 0.119)
I (0.047, 0.250, 0.205)
I (0.058, 0.750, 0.488)
I (0.129, 0.003, 0.341)
I (0.129, 0.497, 0.341)
I (0.136, 0.031, 0.000)
I (0.136, 0.469, 0.000)
I (0.148, 0.524, 0.667)
I (0.148, 0.976, 0.667)
I (0.219, 0.750, 0.859)
I (0.232, 0.250, 0.794)
I (0.268, 0.750, 0.294)
I (0.281, 0.250, 0.359)
I (0.352, 0.024, 0.167)
I (0.352, 0.476, 0.167)
I (0.364, 0.531, 0.500)
I (0.364, 0.969, 0.500)
I (0.371, 0.503, 0.841)
I (0.371, 0.997, 0.841)
I (0.442, 0.250, 0.988)
I (0.453, 0.750, 0.705)
I (0.486, 0.250, 0.619)
I (0.514, 0.750, 0.381)
I (0.547, 0.250, 0.295)
I (0.558, 0.750, 0.012)
I (0.629, 0.003, 0.159)
I (0.629, 0.497, 0.159)
I (0.636, 0.031, 0.500)
I (0.636, 0.469, 0.500)
I (0.648, 0.524, 0.833)
I (0.648, 0.976, 0.833)
I (0.719, 0.750, 0.641)
I (0.732, 0.250, 0.706)
I (0.768, 0.750, 0.206)
I (0.781, 0.250, 0.141)
I (0.852, 0.024, 0.333)
I (0.852, 0.476, 0.333)
I (0.864, 0.531, 0.000)
I (0.864, 0.969, 0.000)
I (0.871, 0.503, 0.659)
I (0.871, 0.997, 0.659)
I (0.942, 0.250, 0.512)
I (0.953, 0.750, 0.795)
I (0.986, 0.250, 0.881)

Summary:
Electronic total energy ... -5.2253 eV/atom
SG ... Pnma, No. 62
Volume ... 600.8 Å³/f.u.


[16]
# WI4

Crystalline WI4 at its relaxed geometry (PBE-GGA, OQMD).

a b c (Å): 7.729 7.729 12.692
angles (deg): 114.17 114.17 49.48
Sites, in units of the cell vectors:
W (0.242, 0.758, 0.750)
W (0.758, 0.242, 0.250)
I (0.107, 0.132, 0.428)
I (0.132, 0.107, 0.928)
I (0.352, 0.406, 0.807)
I (0.406, 0.352, 0.307)
I (0.594, 0.648, 0.693)
I (0.648, 0.594, 0.193)
I (0.868, 0.893, 0.072)
I (0.893, 0.868, 0.572)

Summary:
Electronic total energy ... -3.7572 eV/atom
SG ... C2/c, No. 15
Volume ... 257.3 Å³/f.u.


[17]
# W3I7

Crystalline W3I7 at its relaxed geometry (PBE-GGA, OQMD).

a b c (Å): 11.275 11.275 12.569
angles (deg): 100.35 100.35 88.92
Sites, in units of the cell vectors:
W (0.020, 0.573, 0.380)
W (0.055, 0.645, 0.599)
W (0.161, 0.445, 0.512)
W (0.355, 0.945, 0.901)
W (0.427, 0.980, 0.120)
W (0.445, 0.161, 0.012)
W (0.555, 0.839, 0.988)
W (0.573, 0.020, 0.880)
W (0.645, 0.055, 0.099)
W (0.839, 0.555, 0.488)
W (0.945, 0.355, 0.401)
W (0.980, 0.427, 0.620)
I (0.000, 0.500, 0.000)
I (0.047, 0.689, 0.198)
I (0.088, 0.211, 0.535)
I (0.125, 0.875, 0.750)
I (0.134, 0.368, 0.282)
I (0.204, 0.518, 0.744)
I (0.211, 0.088, 0.035)
I (0.246, 0.671, 0.488)
I (0.311, 0.953, 0.302)
I (0.329, 0.754, 0.012)
I (0.362, 0.399, 0.036)
I (0.368, 0.134, 0.782)
I (0.399, 0.362, 0.536)
I (0.482, 0.796, 0.756)
I (0.500, 0.000, 0.500)
I (0.518, 0.204, 0.244)
I (0.601, 0.638, 0.464)
I (0.632, 0.866, 0.218)
I (0.638, 0.601, 0.964)
I (0.671, 0.246, 0.988)
I (0.689, 0.047, 0.698)
I (0.754, 0.329, 0.512)
I (0.789, 0.912, 0.965)
I (0.796, 0.482, 0.256)
I (0.866, 0.632, 0.718)
I (0.875, 0.125, 0.250)
I (0.912, 0.789, 0.465)
I (0.953, 0.311, 0.802)

Summary:
Electronic total energy ... -5.1454 eV/atom
SG ... C2/c, No. 15
Volume ... 386.6 Å³/f.u.